# YCoNiB | OQMD via LeMat-Bulk | GGA-PBE | optimized geometry
# Energy, eV/atom: -6.13
# Crystal system: cubic
data_YCoNiB
_symmetry_space_group_name_H-M 'P 1'
_symmetry_Int_Tables_number 1
_symmetry_space_group_name_Hall 'P 1'
_cell_length_a 4.257
_cell_length_b 4.257
_cell_length_c 4.257
_cell_angle_alpha 60.00
_cell_angle_beta 60.00
_cell_angle_gamma 60.00
loop_
_atom_site_label
_atom_site_fract_x
_atom_site_fract_y
_atom_site_fract_z
Y1 0.000 0.000 0.000
Co1 0.500 0.500 0.500
Ni1 0.750 0.750 0.750
B1 0.250 0.250 0.250